No. 1
Below is an optimized crystal structure of SmGa2CuPd, with properties calculated at the PBE level.

Cell lengths 4.3047, 4.3047, 10.0584 Å; angles 90.00, 90.00, 90.00 degrees
Closest atoms and distances in Å follow each position.
Space group P4/nmm (No. 129, origin choice 2)
Asymmetric unit:
Sm  0.2500  0.2500  0.2452 [2 per cell]  4 Cu 3.27, 4 Pd 3.28, 8 Ga 3.30-3.35
Ga  0.2500  0.2500  0.8802 [2 per cell]  4 Cu 2.47, 1 Pd 2.47
Ga  0.2500  0.7500  0.5000 [2 per cell]  4 Pd 2.54
Cu  0.2500  0.7500  0.0000 [2 per cell]  4 Ga 2.47
Pd  0.2500  0.2500  0.6345 [2 per cell]  5 Ga 2.47-2.54

Output
VASP energy: -45.5 eV/cell
Excess energy over the best structure of this formula in the dataset: 0.05 eV/f.u.

---

No. 2
Below is an optimized crystal structure of SmGa2CuPd, with properties calculated at the PBE level.

Cell lengths 4.1962, 4.1962, 10.3860 Å; angles 90.00, 90.00, 90.00 degrees
Closest atoms and distances in Å follow each position.
Space group P4/nmm (No. 129, origin choice 2)
Asymmetric unit:
Sm  0.2500  0.2500  0.2428 [2 per cell]  4 Cu 3.20, 8 Ga 3.21-3.28, 4 Pd 3.40
Ga  0.2500  0.2500  0.6392 [2 per cell]  1 Cu 2.41, 4 Pd 2.55
Ga  0.2500  0.7500  0.0000 [2 per cell]  4 Cu 2.49
Cu  0.2500  0.2500  0.8713 [2 per cell]  5 Ga 2.41-2.49
Pd  0.2500  0.7500  0.5000 [2 per cell]  4 Ga 2.55

Output
VASP energy: -45.6 eV/cell
Excess energy over the best structure of this formula in the dataset: 0.00 eV/f.u.

---

No. 3
Below is an optimized crystal structure of GaCuSnPd, with properties calculated at the PBE level.

Cell lengths 6.4811, 6.4811, 6.4811 Å; angles 90.00, 90.00, 90.00 degrees
Closest atoms and distances in Å follow each position.
Space group F-43m (No. 216)
Asymmetric unit:
Ga  0.0000  0.0000  0.0000 [4 per cell]  4 Cu 2.81, 4 Pd 2.81
Cu  0.2500  0.2500  0.7500 [4 per cell]  4 Sn 2.81, 4 Ga 2.81
Sn  0.0000  0.0000  0.5000 [4 per cell]  4 Pd 2.81, 4 Cu 2.81
Pd  0.2500  0.2500  0.2500 [4 per cell]  4 Ga 2.81, 4 Sn 2.81

Output
VASP energy: -65.9 eV/cell
Excess energy over the best structure of this formula in the dataset: 0.00 eV/f.u.

---

No. 4
Below is an optimized crystal structure of Sr2Ga4CuPd, with properties calculated at the PBE level.

Cell lengths 7.3497, 4.1811, 11.3817 Å; angles 90.00, 90.00, 90.00 degrees
Closest atoms and distances in Å follow each position.
Space group Amm2 (No. 38)
Asymmetric unit:
Sr  0.0000  0.0000  0.0000 [2 per cell]  3 Cu 3.14-3.30, 10 Ga 3.35-3.51
Sr  0.5000  0.0000  0.1020 [2 per cell]  3 Pd 3.13-3.31, 6 Ga 3.39-3.48
Ga  0.1847  0.0000  0.7176 [4 per cell]  2 Cu 2.58, 1 Pd 2.63, 1 Ga 2.72
Ga  0.3040  0.0000  0.3806 [4 per cell]  1 Cu 2.53, 2 Pd 2.61
Cu  0.0000  0.0000  0.2762 [2 per cell]  6 Ga 2.53-2.58
Pd  0.5000  0.0000  0.8270 [2 per cell]  6 Ga 2.61-2.63

Output
VASP energy: -56.7 eV/cell

---

No. 5
Below is an optimized crystal structure of SrGa2CuPd, with properties calculated at the PBE level.

Cell lengths 4.3711, 4.3711, 10.3648 Å; angles 90.00, 90.00, 90.00 degrees
Closest atoms and distances in Å follow each position.
Space group P4/nmm (No. 129, origin choice 2)
Asymmetric unit:
Sr  0.2500  0.2500  0.2499 [2 per cell]  4 Cu 3.34, 8 Ga 3.34-3.39, 4 Pd 3.39
Ga  0.2500  0.2500  0.6269 [2 per cell]  1 Cu 2.54, 4 Pd 2.55
Ga  0.2500  0.7500  0.0000 [2 per cell]  4 Cu 2.56
Cu  0.2500  0.2500  0.8719 [2 per cell]  5 Ga 2.54-2.56
Pd  0.2500  0.7500  0.5000 [2 per cell]  4 Ga 2.55

Output
VASP energy: -38.3 eV/cell

---

No. 6
Below is an optimized crystal structure of TaGaCuPd, with properties calculated at the PBE level.

Cell lengths 6.2374, 6.2374, 6.2374 Å; angles 90.00, 90.00, 90.00 degrees
Closest atoms and distances in Å follow each position.
Space group F-43m (No. 216)
Asymmetric unit:
Ta  0.0000  0.0000  0.0000 [4 per cell]  4 Pd 2.70, 4 Ga 2.70
Ga  0.2500  0.2500  0.2500 [4 per cell]  4 Ta 2.70, 4 Cu 2.70
Cu  0.0000  0.0000  0.5000 [4 per cell]  4 Pd 2.70, 4 Ga 2.70
Pd  0.2500  0.2500  0.7500 [4 per cell]  4 Ta 2.70, 4 Cu 2.70

Output
VASP energy: -97.1 eV/cell
Excess energy over the best structure of this formula in the dataset: 0.12 eV/f.u.

---

No. 7
Below is an optimized crystal structure of GaCuTcPd, with properties calculated at the PBE level.

Cell lengths 6.1428, 6.1428, 6.1428 Å; angles 90.00, 90.00, 90.00 degrees
Closest atoms and distances in Å follow each position.
Space group F-43m (No. 216)
Asymmetric unit:
Ga  0.0000  0.0000  0.0000 [4 per cell]  4 Tc 2.66, 4 Cu 2.66
Cu  0.2500  0.2500  0.2500 [4 per cell]  4 Pd 2.66, 4 Ga 2.66
Tc  0.2500  0.2500  0.7500 [4 per cell]  4 Pd 2.66, 4 Ga 2.66
Pd  0.0000  0.0000  0.5000 [4 per cell]  4 Tc 2.66, 4 Cu 2.66

Output
VASP energy: -88.4 eV/cell
Excess energy over the best structure of this formula in the dataset: 0.00 eV/f.u.

---

No. 8
Below is an optimized crystal structure of ZrGaCuPd, with properties calculated at the PBE level.

Cell lengths 6.3822, 6.3822, 6.3822 Å; angles 90.00, 90.00, 90.00 degrees
Closest atoms and distances in Å follow each position.
Space group F-43m (No. 216)
Asymmetric unit:
Zr  0.0000  0.0000  0.0000 [4 per cell]  4 Ga 2.76, 4 Pd 2.76
Ga  0.2500  0.2500  0.2500 [4 per cell]  4 Zr 2.76, 4 Cu 2.76
Cu  0.0000  0.0000  0.5000 [4 per cell]  4 Pd 2.76, 4 Ga 2.76
Pd  0.2500  0.2500  0.7500 [4 per cell]  4 Zr 2.76, 4 Cu 2.76

Output
VASP energy: -88.7 eV/cell
Excess energy over the best structure of this formula in the dataset: 0.40 eV/f.u.

---

No. 9
Below is an optimized crystal structure of ZrGaCuPd, with properties calculated at the PBE level.

Cell lengths 6.3533, 6.3533, 6.3533 Å; angles 90.00, 90.00, 90.00 degrees
Closest atoms and distances in Å follow each position.
Space group F-43m (No. 216)
Asymmetric unit:
Zr  0.0000  0.0000  0.0000 [4 per cell]  4 Cu 2.75, 4 Pd 2.75
Ga  0.0000  0.0000  0.5000 [4 per cell]  4 Pd 2.75, 4 Cu 2.75
Cu  0.2500  0.2500  0.2500 [4 per cell]  4 Zr 2.75, 4 Ga 2.75
Pd  0.2500  0.2500  0.7500 [4 per cell]  4 Zr 2.75, 4 Ga 2.75

Output
VASP energy: -90.3 eV/cell
Excess energy over the best structure of this formula in the dataset: 0.00 eV/f.u.

---

No. 10
Below is an optimized crystal structure of ZrGaCuPd, with properties calculated at the PBE level.

Cell lengths 6.3310, 6.3310, 6.3310 Å; angles 90.00, 90.00, 90.00 degrees
Closest atoms and distances in Å follow each position.
Space group F-43m (No. 216)
Asymmetric unit:
Zr  0.0000  0.0000  0.0000 [4 per cell]  4 Cu 2.74, 4 Ga 2.74
Ga  0.2500  0.2500  0.7500 [4 per cell]  4 Zr 2.74, 4 Pd 2.74
Cu  0.2500  0.2500  0.2500 [4 per cell]  4 Zr 2.74, 4 Pd 2.74
Pd  0.0000  0.0000  0.5000 [4 per cell]  4 Cu 2.74, 4 Ga 2.74

Output
VASP energy: -89.4 eV/cell
Excess energy over the best structure of this formula in the dataset: 0.21 eV/f.u.

---

No. 11
Below is an optimized crystal structure of PmGaCu, with properties calculated at the PBE level.

Cell lengths 6.6863, 6.6863, 6.6863 Å; angles 90.00, 90.00, 90.00 degrees
Closest atoms and distances in Å follow each position.
Space group F-43m (No. 216)
Asymmetric unit:
Pm  0.0000  0.0000  0.0000 [4 per cell]  4 Cu 2.90, 4 Ga 2.90
Ga  0.2500  0.2500  0.2500 [4 per cell]  4 Pm 2.90
Cu  0.2500  0.2500  0.7500 [4 per cell]  4 Pm 2.90

Output
VASP energy: -43.6 eV/cell
Excess energy over the best structure of this formula in the dataset: 2.06 eV/f.u.

---

No. 12
Below is an optimized crystal structure of Pm2Ga3Cu, with properties calculated at the PBE level.

Cell lengths 7.6309, 8.7953, 15.2336 Å; angles 90.00, 90.00, 90.00 degrees
Closest atoms and distances in Å follow each position.
Space group Fmmm (No. 69)
Asymmetric unit:
Pm  0.2429  0.0000  0.0000 [8 per cell]  10 Ga 3.14-3.23, 2 Cu 3.16
Pm  0.2500  0.2500  0.2500 [8 per cell]  8 Ga 3.16-3.17, 4 Cu 3.17
Ga  0.0000  0.0000  0.3317 [8 per cell]  1 Cu 2.50, 2 Ga 2.55
Ga  0.0000  0.2483  0.0849 [16 per cell]  1 Cu 2.52, 2 Ga 2.55-2.59
Cu  0.0000  0.0000  0.1676 [8 per cell]  3 Ga 2.50-2.52

Output
VASP energy: -206.4 eV/cell

---

No. 13
Below is an optimized crystal structure of PmGa6Cu6, with properties calculated at the PBE level.

Cell lengths 5.1457, 8.5881, 8.7628 Å; angles 90.00, 90.00, 90.00 degrees
Closest atoms and distances in Å follow each position.
Space group Immm (No. 71)
Asymmetric unit:
Pm  0.0000  0.0000  0.0000 [2 per cell]  8 Ga 2.98-3.10, 12 Cu 3.26-3.33
Ga  0.0000  0.0000  0.3494 [4 per cell]  3 Ga 2.64-2.89, 6 Cu 2.65
Ga  0.0000  0.3473  0.0000 [4 per cell]  1 Ga 2.62, 6 Cu 2.67-2.75
Ga  0.0000  0.5000  0.3018 [4 per cell]  6 Cu 2.54-2.65
Cu  0.0000  0.2671  0.5000 [4 per cell]  4 Cu 2.54, 6 Ga 2.65-2.75
Cu  0.2500  0.2500  0.2500 [8 per cell]  6 Ga 2.54-2.67, 4 Cu 2.54-2.57

Output
VASP energy: -98.0 eV/cell

---

No. 14
Below is an optimized crystal structure of PmGa6Cu, with properties calculated at the PBE level.

Cell lengths 4.4021, 4.4021, 7.6869 Å; angles 90.00, 90.00, 90.00 degrees
Closest atoms and distances in Å follow each position.
Space group P4/mmm (No. 123)
Asymmetric unit:
Pm  0.0000  0.0000  0.0000 [1 per cell]  16 Ga 3.34-3.36
Ga  0.0000  0.5000  0.3304 [4 per cell]  2 Cu 2.56, 3 Ga 2.58-2.61
Ga  0.5000  0.5000  0.1565 [2 per cell]  5 Ga 2.41-2.58
Cu  0.0000  0.0000  0.5000 [1 per cell]  8 Ga 2.56

Output
VASP energy: -29.2 eV/cell

---

No. 15
Below is an optimized crystal structure of PmGaCu, with properties calculated at the PBE level.

Cell lengths 4.4520, 7.2339, 7.5343 Å; angles 90.00, 90.00, 90.00 degrees
Closest atoms and distances in Å follow each position.
Space group Imm2 (No. 44)
Asymmetric unit:
Pm  0.0000  0.0000  0.0000 [2 per cell]  6 Ga 3.05-3.14, 6 Cu 3.17-3.21
Pm  0.0000  0.5000  0.0704 [2 per cell]  6 Cu 3.08-3.09, 6 Ga 3.12-3.28
Ga  0.0000  0.3036  0.7022 [4 per cell]  3 Cu 2.56-2.59, 1 Ga 2.84
Cu  0.0000  0.2099  0.3698 [4 per cell]  3 Ga 2.56-2.59

Output
VASP energy: -51.8 eV/cell
Excess energy over the best structure of this formula in the dataset: 0.00 eV/f.u.

---

No. 16
Below is an optimized crystal structure of PmGa2Cu2, with properties calculated at the PBE level.

Cell lengths 4.2015, 4.2015, 10.0700 Å; angles 90.00, 90.00, 90.00 degrees
Closest atoms and distances in Å follow each position.
Space group P4/nmm (No. 129, origin choice 2)
Asymmetric unit:
Pm  0.2500  0.2500  0.2455 [2 per cell]  8 Ga 3.19-3.31, 8 Cu 3.22-3.24
Ga  0.2500  0.2500  0.8709 [2 per cell]  5 Cu 2.41-2.47
Ga  0.2500  0.7500  0.5000 [2 per cell]  4 Cu 2.49
Cu  0.2500  0.2500  0.6318 [2 per cell]  5 Ga 2.41-2.49
Cu  0.2500  0.7500  0.0000 [2 per cell]  4 Ga 2.47

Output
VASP energy: -40.9 eV/cell

---

No. 17
Below is an optimized crystal structure of PrGa2Cu, with properties calculated at the PBE level.

Cell lengths 4.2757, 17.7230, 4.2226 Å; angles 90.00, 90.00, 90.00 degrees
Closest atoms and distances in Å follow each position.
Space group Cmmm (No. 65)
Asymmetric unit:
Pr  0.0000  0.1424  0.0000 [4 per cell]  4 Cu 3.22, 10 Ga 3.25-3.32
Ga  0.0000  0.0000  0.5000 [2 per cell]  4 Cu 2.53
Ga  0.0000  0.2871  0.5000 [4 per cell]  1 Cu 2.42, 2 Ga 2.51
Ga  0.0000  0.5000  0.0000 [2 per cell]  4 Cu 2.51
Cu  0.0000  0.4237  0.5000 [4 per cell]  5 Ga 2.42-2.53, 1 Cu 2.70

Output
VASP energy: -66.4 eV/cell

---

No. 18
Below is an optimized crystal structure of PrGaCu2Sn, with properties calculated at the PBE level.

Cell lengths 4.3546, 4.3546, 10.3983 Å; angles 90.00, 90.00, 90.00 degrees
Closest atoms and distances in Å follow each position.
Space group P4/nmm (No. 129, origin choice 2)
Asymmetric unit:
Pr  0.2500  0.2500  0.2412 [2 per cell]  4 Ga 3.32, 4 Sn 3.32, 9 Cu 3.35-3.70
Ga  0.2500  0.7500  0.0000 [2 per cell]  4 Cu 2.48
Cu  0.2500  0.2500  0.8849 [2 per cell]  4 Ga 2.48, 1 Sn 2.56
Cu  0.2500  0.7500  0.5000 [2 per cell]  4 Sn 2.61
Sn  0.2500  0.2500  0.6385 [2 per cell]  5 Cu 2.56-2.61

Output
VASP energy: -43.0 eV/cell

---

No. 19
Below is an optimized crystal structure of PrY2Ga2Cu4, with properties calculated at the PBE level.

Cell lengths 10.2170, 4.1905, 8.3454 Å; angles 90.00, 98.73, 90.00 degrees
Closest atoms and distances in Å follow each position.
Space group C2/m (No. 12)
Asymmetric unit:
Pr  0.0000  0.0000  0.0000 [2 per cell]  8 Cu 2.97-3.31
Y  0.1247  0.5000  0.3800 [4 per cell]  6 Cu 2.86-3.05, 2 Ga 3.18-3.20
Ga  0.1811  0.5000  0.7681 [4 per cell]  5 Cu 2.52-2.56
Cu  0.0822  0.0000  0.6319 [4 per cell]  2 Ga 2.52, 1 Cu 2.56
Cu  0.2265  0.5000  0.0788 [4 per cell]  2 Cu 2.56, 3 Ga 2.56, 1 Y 2.86

Output
VASP energy: -84.0 eV/cell

---

No. 20
Below is an optimized crystal structure of Ga2CuPt, with properties calculated at the PBE level.

Cell lengths 6.2347, 6.2347, 6.2347 Å; angles 90.00, 90.00, 90.00 degrees
Closest atoms and distances in Å follow each position.
Space group F-43m (No. 216)
Asymmetric unit:
Ga  0.0000  0.0000  0.0000 [4 per cell]  4 Cu 2.70, 4 Ga 2.70
Ga  0.2500  0.2500  0.2500 [4 per cell]  4 Pt 2.70, 4 Ga 2.70
Cu  0.2500  0.2500  0.7500 [4 per cell]  4 Pt 2.70, 4 Ga 2.70
Pt  0.0000  0.0000  0.5000 [4 per cell]  4 Ga 2.70, 4 Cu 2.70

Output
VASP energy: -66.0 eV/cell